Record 1
Compound: CaMn2P
Source: the Alexandria database
Functional: PBE-GGA
Structure: optimized geometry

Structure (POSCAR):
```
CaMn2P
1.0
3.172 0.000 0.000
0.000 3.172 0.000
0.000 0.000 6.925
Ca Mn P
1 2 1
Direct
0.000 0.000 0.000
0.000 0.000 0.563
0.500 0.500 0.339
0.500 0.500 0.695
```

Calculated values
For the spin magnetization, the calculation gives 6.333 Bohr magnetons per cell. The energy comes out at -6.513 eV/atom. The energy of formation is -75.6 meV per atom.


Record 2
Compound: BaNa2
Source: the Alexandria database
Functional: PBE-GGA
Structure: optimized geometry

Structure (POSCAR):
```
BaNa2
1.0
-2.222 2.222 7.039
2.222 -2.222 7.039
2.222 2.222 -7.039
Ba Na
1 2
Direct
0.000 0.000 0.000
0.312 0.312 0.000
0.688 0.688 0.000
```

Calculated values
For the spin magnetization, the calculation gives 0.000 Bohr magnetons per cell. The energy comes out at -1.510 eV/atom. Its relative energy among the computed polymorphs is 23.1 meV/atom. The energy of formation is 10.4 meV per atom.


Record 3
Compound: Sr3Mg2Al9
Source: the Alexandria database
Functional: PBE-GGA
Structure: optimized geometry

Structure (POSCAR):
```
Sr3Mg2Al9
1.0
-2.303 5.042 6.935
2.303 -5.042 6.935
2.303 5.042 -6.935
Sr Mg Al
3 2 9
Direct
0.000 0.000 0.000
0.302 0.302 0.000
0.698 0.698 0.000
0.306 0.500 0.806
0.694 0.500 0.194
0.029 0.664 0.364
0.134 0.856 0.277
0.300 0.664 0.636
0.421 0.144 0.277
0.500 0.000 0.500
0.579 0.856 0.723
0.700 0.336 0.364
0.866 0.144 0.723
0.971 0.336 0.636
```

Calculated values
For the spin magnetization, the calculation gives 0.000 Bohr magnetons per cell. The energy comes out at -3.184 eV/atom. The energy of formation is -189.6 meV per atom.